(1)
Pr2InH2O6 | PBE | relaxed

a b c (Å): 5.151 5.151 6.255
angles (deg): 65.69 65.69 60.00
Fractional coordinates of all 11 atoms:
Pr: 0.783 0.783 0.650
Pr: 0.217 0.217 0.350
In: 0.000 0.000 0.000
H: 0.425 0.425 0.725
H: 0.575 0.575 0.275
O: 0.736 0.736 0.276
O: 0.253 0.736 0.276
O: 0.736 0.253 0.276
O: 0.264 0.747 0.724
O: 0.747 0.264 0.724
O: 0.264 0.264 0.724

- VASP energy (eV/f.u.) = -67.75
- space group = R-3m, No. 166
- magnetic moment (μB per cell) = 0.8

***

(2)
LaMgIr2 | PBE | relaxed

a b c (Å): 6.069 6.069 6.069
angles (deg): 150.77 132.62 56.65
Fractional coordinates of all 4 atoms:
Ir: 0.984 0.984 0.000
Ir: 0.780 0.280 0.500
La: 0.518 0.518 0.000
Mg: 0.219 0.719 0.500

- VASP energy (eV/f.u.) = -25.23
- DFT formation energy (eV/atom) = -0.246
- space group = Imm2, No. 44
- magnetic moment (μB per cell) = 0.0

***

(3)
Li5Sb | PBE | relaxed

a b c (Å): 5.204 5.204 4.749
angles (deg): 90.00 90.00 120.00
Fractional coordinates of all 6 atoms:
Li: 0.030 0.000 0.000
Li: 0.637 0.304 0.000
Li: 0.333 0.696 0.000
Li: 0.000 0.333 0.500
Li: 0.667 0.667 0.500
Sb: 0.333 0.000 0.500

- VASP energy (eV/f.u.) = -15.77
- space group = P-62m, No. 189
- formation energy (no corrections) (eV/atom) = -0.3466
- relative energy among the computed polymorphs (meV per atom) = 64.4
- magnetic moment (μB per cell) = 0.0

***

(4)
LaGa2Ag6 | PBE | relaxed

a b c (Å): 4.362 4.362 9.416
angles (deg): 90.00 90.00 90.00
Fractional coordinates of all 9 atoms:
La: 0.000 0.000 0.000
Ga: 0.500 0.500 0.132
Ga: 0.500 0.500 0.868
Ag: 0.000 0.500 0.293
Ag: 0.500 0.000 0.293
Ag: 0.000 0.500 0.707
Ag: 0.500 0.000 0.707
Ag: 0.500 0.500 0.500
Ag: 0.000 0.000 0.500

- VASP energy (eV/f.u.) = -29.99
- DFT formation energy (eV/atom) = -0.211
- space group = P4/mmm, No. 123
- relative energy among the computed polymorphs (meV per atom) = 0.0
- magnetic moment (μB per cell) = 0.0